# TbHoTeO2

An optimized crystal structure of TbHoTeO2 (GGA-PBE, the Alexandria database).

a = 6.800 Å, b = 4.074 Å, c = 7.752 Å
α = 90.00°, β = 106.56°, γ = 90.00°
Fractional coordinates of all 10 atoms:
Tb 0.170 0.250 0.422
Tb 0.830 0.750 0.578
Ho 0.161 0.250 0.911
Ho 0.839 0.750 0.089
Te 0.452 0.750 0.742
Te 0.548 0.250 0.258
O 0.007 0.750 0.880
O 0.019 0.750 0.376
O 0.981 0.250 0.624
O 0.993 0.250 0.120

Raw formation energy = -2.98 eV/atom
Density of states at the Fermi level = 0.0 states/eV/cell